VASP calculation (PBE) on a relaxed Tb3Ho4Er2 crystal.

The structure in POSCAR format:
```
Tb3Ho4Er2
1.0
7.481 -2.489 0.000
7.481 2.489 0.000
-2.466 0.000 7.482
Tb Ho Er
3 4 2
direct
0.000 0.000 0.000
0.111 0.111 0.666
0.889 0.889 0.334
0.222 0.222 0.333
0.333 0.333 0.000
0.667 0.667 0.000
0.778 0.778 0.667
0.444 0.444 0.667
0.556 0.556 0.333
```

Summary:
SG: No. 12
Volume in Å³/cell: 279
ΔH_f (0 K) in eV/f.u.: 0.161
VASP energy in eV for the cell shown: -41.167
Distance to the lowest polymorph of the same formula in kJ per mole of atoms: 0.0